Below is a relaxed TeOs3Rh crystal, with properties calculated at the PBE level.

Cell: 4.709 4.709 4.709 Å, 90.00 90.00 90.00°
Fractional coordinates of all 5 atoms:
Rh1 0.000 0.000 0.000
Te1 0.500 0.500 0.500
Os1 0.000 0.500 0.000
Os2 0.000 0.000 0.500
Os3 0.500 0.000 0.000

Output
Formation energy (no corrections)   2322 meV per atom
Size of the total moment   0.000 μB per cell
SG   No. 221
D(E_F)   1.43 states/eV per atom